Material: NaPSN2
Method: DFT, PBE
State: optimized geometry

## Properties
SG   P4/mmm, No. 123
Total magnetic moment   4.052 Bohr magnetons per cell
Raw formation energy   2307.6 meV/atom
Crystal system   tetragonal

Unit cell a=4.2633 b=4.2633 c=5.2832 alpha=90.00 beta=90.00 gamma=90.00
Fractional coordinates of all 5 atoms:
Na1 0.0000 0.0000 0.0000
P1 0.5000 0.5000 0.5000
S1 0.0000 0.0000 0.5000
N1 0.0000 0.5000 0.0000
N2 0.5000 0.0000 0.0000